Compound: LaIn3Fe
Source: Alexandria
Functional: GGA-PBE
Structure: relaxed

## Properties
Polymorph energy (0 for the lowest one)   1.8393 eV per atom
DFT formation energy   1691 meV/atom

abc: 6.0190 6.0190 6.0190
angles: 90.00 90.00 90.00
Last column: magnetic moment on the atom in μB.
Fractional positions:
In (0.0000, 0.5000, 0.0000)  0.04
In (0.0000, 0.0000, 0.5000)  0.02
In (0.5000, 0.0000, 0.0000)  0.04
Fe (0.5000, 0.5000, 0.5000)  -0.22
La (0.0000, 0.0000, 0.0000)  0.08